BeCu5Si2: optimized geometry, PBE.

a = 6.892 Å, b = 6.056 Å, c = 6.774 Å
α = 122.24°, β = 120.58°, γ = 90.00°
Element x y z (fractional)
Si: 0.148 0.487 0.795
Si: 0.648 0.987 0.795
Si: 0.852 0.513 0.205
Si: 0.352 0.013 0.205
Be: 0.500 0.500 0.500
Be: 0.000 0.000 0.500
Cu: 0.297 0.778 0.719
Cu: 0.922 0.779 0.719
Cu: 0.250 0.250 0.000
Cu: 0.203 0.721 0.281
Cu: 0.797 0.279 0.719
Cu: 0.422 0.278 0.719
Cu: 0.078 0.221 0.281
Cu: 0.750 0.750 0.000
Cu: 0.703 0.222 0.281
Cu: 0.578 0.722 0.281

Results
ΔE_f (raw) in kJ/mol of formula units: -6
DOS at the Fermi energy in states/eV per cell: 3.322
DFT total energy in eV per cell: -70.22


BeCu3Si: optimized geometry, PBE.

a = 6.290 Å, b = 4.883 Å, c = 4.883 Å
α = 125.60°, β = 80.88°, γ = 80.88°
Element x y z (fractional)
Cu: 0.210 0.527 0.882
Cu: 0.624 0.436 0.586
Cu: 0.710 0.882 0.527
Cu: 0.926 0.232 0.986
Cu: 0.124 0.586 0.436
Cu: 0.426 0.986 0.232
Si: 0.017 0.125 0.428
Si: 0.517 0.428 0.125
Be: 0.822 0.786 0.969
Be: 0.322 0.969 0.786

Results
ΔE_f (raw) in kJ/mol of formula units: 7
Offset from the most stable computed form in kJ per mole of atoms: 0.00
DOS at the Fermi energy in states/eV per cell: 2.526
DFT total energy in eV per cell: -42.73


BeCuSi4: optimized geometry, PBE.

a = 4.929 Å, b = 4.929 Å, c = 4.929 Å
α = 60.00°, β = 60.00°, γ = 60.00°
Element x y z (fractional)
Si: 0.375 0.875 0.375
Si: 0.875 0.375 0.375
Si: 0.375 0.375 0.375
Si: 0.375 0.375 0.875
Be: 0.750 0.750 0.750
Cu: 0.000 0.000 0.000

Results
ΔE_f (raw) in kJ/mol of formula units: 373
DOS at the Fermi energy in states/eV per cell: 2.013
DFT total energy in eV per cell: -25.65


BeCu3Si: optimized geometry, PBE.

a = 4.338 Å, b = 4.338 Å, c = 4.338 Å
α = 90.00°, β = 90.00°, γ = 90.00°
Element x y z (fractional)
Cu: 0.000 0.000 0.500
Cu: 0.000 0.500 0.000
Cu: 0.500 0.000 0.000
Si: 0.000 0.000 0.000
Be: 0.500 0.500 0.500

Results
ΔE_f (raw) in kJ/mol of formula units: 377
Offset from the most stable computed form in kJ per mole of atoms: 74.04
DOS at the Fermi energy in states/eV per cell: 1.710
DFT total energy in eV per cell: -17.53


BeCu4Si: optimized geometry, PBE.

a = 4.363 Å, b = 4.961 Å, c = 6.946 Å
α = 110.92°, β = 90.01°, γ = 90.00°
Element x y z (fractional)
Cu: 0.500 0.921 0.143
Cu: 0.000 0.818 0.301
Cu: 0.000 0.778 0.857
Cu: 0.500 0.517 0.699
Cu: 0.000 0.182 0.699
Cu: 0.000 0.222 0.143
Cu: 0.500 0.483 0.301
Cu: 0.500 0.079 0.857
Be: 0.250 0.500 0.000
Be: 0.750 0.500 0.000
Si: 0.000 0.500 0.500
Si: 0.500 0.000 0.500

Results
ΔE_f (raw) in kJ/mol of formula units: 12
Offset from the most stable computed form in kJ per mole of atoms: 0.00
DOS at the Fermi energy in states/eV per cell: 1.269
DFT total energy in eV per cell: -50.83


BeCuSi3: optimized geometry, PBE.

a = 4.242 Å, b = 4.242 Å, c = 4.242 Å
α = 90.00°, β = 90.00°, γ = 90.00°
Element x y z (fractional)
Si: 0.000 0.500 0.000
Si: 0.500 0.000 0.000
Si: 0.000 0.000 0.500
Be: 0.000 0.000 0.000
Cu: 0.500 0.500 0.500

Results
ΔE_f (raw) in kJ/mol of formula units: 384
Offset from the most stable computed form in kJ per mole of atoms: 0.00
DOS at the Fermi energy in states/eV per cell: 2.843
DFT total energy in eV per cell: -20.11